[1]
Compound: NaCoSb2I
Source: Alexandria
Functional: PBE-GGA
Structure: optimized geometry

The space group is P4/mmm (No. 123) and the conventional cell measures 5.421, 5.421 and 5.669 Å, with angles of 90.00, 90.00 and 90.00 degrees. The inequivalent atoms are Na at (0.000, 0.000, 0.000), Co at (0.500, 0.500, 0.500), Sb at (0.000, 0.500, 0.000) and I at (0.000, 0.000, 0.500).

The value obtained for the density of states at the Fermi level is 9.22 states/eV/f.u. Its crystal system is tetragonal. The calculation puts the raw total energy at -12.07 eV for the cell shown. For the magnetization, the calculation gives 2.07 μB per cell. As for the energy relative to the elements, uncorrected: 1.230 eV per atom.



[2]
Compound: VSbH
Source: Alexandria
Functional: PBE-GGA
Structure: optimized geometry

The space group is P4/nmm (No. 129, origin choice 2) and the conventional cell measures 3.727, 3.727 and 7.821 Å, with angles of 90.00, 90.00 and 90.00 degrees. The inequivalent atoms are V at (0.250, 0.750, 0.000), Sb at (0.250, 0.250, 0.245) and H at (0.250, 0.250, 0.465).

The value obtained for the density of states at the Fermi level is 2.15 states/eV/f.u. Its crystal system is tetragonal. The calculation puts the raw total energy at -31.10 eV for the cell shown. For the magnetization, the calculation gives 0.00 μB per cell.



[3]
Compound: BeGeN3
Source: Alexandria
Functional: PBE-GGA
Structure: optimized geometry

The space group is Pm-3m (No. 221) and the conventional cell measures 3.758, 3.758 and 3.758 Å, with angles of 90.00, 90.00 and 90.00 degrees. The inequivalent atoms are Be at (0.000, 0.000, 0.000), Ge at (0.500, 0.500, 0.500) and N at (0.000, 0.500, 0.500).

The value obtained for the density of states at the Fermi level is 3.37 states/eV/f.u. Its crystal system is cubic. The calculation puts the raw total energy at -24.54 eV for the cell shown. For the magnetization, the calculation gives 1.69 μB per cell. As for the energy relative to the elements, uncorrected: 1.756 eV per atom.